*A*
# NpSn2F8, relaxed, DFT PBE
data_NpSn2F8
_space_group_name_H-M_alt 'C 1 2/m 1'
_space_group_IT_number 12
_cell_length_a 15.406
_cell_length_b 4.064
_cell_length_c 5.893
_cell_angle_alpha 90.00
_cell_angle_beta 110.36
_cell_angle_gamma 90.00
loop_
_space_group_symop_operation_xyz
'x,y,z'
'-x,-y,-z'
'-x,y,-z'
'x,-y,z'
'x+1/2,y+1/2,z'
'-x+1/2,-y+1/2,-z'
'-x+1/2,y+1/2,-z'
'x+1/2,-y+1/2,z'
loop_
_atom_site_label
_atom_site_type_symbol
_atom_site_fract_x
_atom_site_fract_y
_atom_site_fract_z
Np1 Np 0.000 0.000 0.000
Sn1 Sn 0.169 0.500 0.617
F1 F 0.005 0.500 0.213
F2 F 0.100 0.000 0.401
F3 F 0.128 0.000 0.940
F4 F 0.222 0.500 0.324
# **D(E_F)**: 4.262 states/eV per cell



*B*
# NpSn2F8, relaxed, DFT PBE
data_NpSn2F8
_space_group_name_H-M_alt 'I m m m'
_space_group_IT_number 71
_space_group_name_Hall '-I 2 2'
_cell_length_a 3.955
_cell_length_b 6.547
_cell_length_c 12.510
_cell_angle_alpha 90.00
_cell_angle_beta 90.00
_cell_angle_gamma 90.00
loop_
_atom_site_label
_atom_site_type_symbol
_atom_site_fract_x
_atom_site_fract_y
_atom_site_fract_z
Np1 Np 0.000 0.000 0.000
Sn1 Sn 0.000 0.000 0.349
F1 F 0.000 0.180 0.500
F2 F 0.000 0.264 0.128
F3 F 0.000 0.500 0.396
# **D(E_F)**: 8.310 states/eV per cell



What is the stability order? It is *A*, *B*, from most stable to least stable.



*A*
# NpTlF6, relaxed, DFT PBE
data_NpTlF6
_space_group_name_H-M_alt 'F m -3 m'
_space_group_IT_number 225
_space_group_name_Hall '-F 4 2 3'
_cell_length_a 9.743
_cell_length_b 9.743
_cell_length_c 9.743
_cell_angle_alpha 90.00
_cell_angle_beta 90.00
_cell_angle_gamma 90.00
loop_
_atom_site_label
_atom_site_type_symbol
_atom_site_fract_x
_atom_site_fract_y
_atom_site_fract_z
Np1 Np 0.000 0.000 0.000
Tl1 Tl 0.000 0.000 0.500
F1 F 0.000 0.000 0.214
# **D(E_F)**: 34.912 states/eV per cell



*B*
# NpTlF6, relaxed, DFT PBE
data_NpTlF6
_space_group_name_H-M_alt 'R -3 m'
_space_group_IT_number 166
_space_group_name_Hall '-R 3 2"'
_cell_length_a 8.0733
_cell_length_b 8.0733
_cell_length_c 8.3072
_cell_angle_alpha 90.00
_cell_angle_beta 90.00
_cell_angle_gamma 120.00
loop_
_atom_site_label
_atom_site_type_symbol
_atom_site_fract_x
_atom_site_fract_y
_atom_site_fract_z
Np1 Np 0.0000 0.0000 0.0000
Tl1 Tl 0.0000 0.0000 0.5000
F1 F 0.0947 0.5474 0.8160
# **D(E_F)**: 25.608 states/eV per cell



What is the stability order? It is *A*, *B*, from most stable to least stable.